NdSi2Ni3, relaxed, DFT GGA-PBE; E_form (uncorrected) = -0.71 eV per atom
1.0
7.751 -1.920 0.000
7.751 1.920 0.000
-2.823 0.000 8.983
Nd Si Ni
3 6 9
Direct
0.000 0.000 0.000
0.154 0.154 0.700
0.846 0.846 0.300
0.201 0.201 0.130
0.360 0.360 0.551
0.475 0.475 0.234
0.525 0.525 0.766
0.640 0.640 0.449
0.799 0.799 0.870
0.051 0.051 0.344
0.217 0.217 0.394
0.322 0.322 0.029
0.370 0.370 0.794
0.500 0.500 0.500
0.630 0.630 0.206
0.678 0.678 0.971
0.783 0.783 0.606
0.949 0.949 0.656